First-principles (PBE-GGA) data for an optimized crystal structure of LaPm3Nd, as listed in Alexandria via LeMat-Bulk. Values from VASP.

```
&SYSTEM
  ibrav = 0, nat = 10, ntyp = 3
/
ATOMIC_SPECIES
Pm 145.00 Pm.upf
La 138.91 La.upf
Nd 144.24 Nd.upf
CELL_PARAMETERS angstrom
-3.137 -6.177 -0.299
4.926 -2.369 -2.738
2.310 2.287 8.954
ATOMIC_POSITIONS angstrom
Pm 3.849 -4.020 0.155
Pm 1.415 -4.766 3.215
Pm 2.685 -1.494 2.702
Pm 2.370 -6.932 0.014
Pm 1.729 0.672 5.903
Pm 0.250 -2.240 5.763
La 2.463 -1.185 -1.369
La 0.000 0.000 0.000
Nd 4.128 -2.388 6.032
Nd -0.028 -3.873 -0.115
```

- density of states at the Fermi level (states/eV/cell) = 16.9
- calculated volume (Å³ per cell) = 353
- ΔH_f (0 K) (eV/atom) = 0.179

First-principles (PBE-GGA) data for an optimized crystal structure of NaLiCaMg, as listed in Alexandria via LeMat-Bulk. Values from VASP.

```
&SYSTEM
  ibrav = 0, nat = 4, ntyp = 4
/
ATOMIC_SPECIES
Li 6.94 Li.upf
Ca 40.08 Ca.upf
Na 22.99 Na.upf
Mg 24.30 Mg.upf
CELL_PARAMETERS angstrom
-5.429 0.494 -0.318
-3.210 -3.036 3.208
-2.773 2.336 4.083
ATOMIC_POSITIONS angstrom
Li 0.000 0.000 0.000
Ca -8.559 -0.155 5.230
Na -5.706 -0.104 3.487
Mg -2.853 -0.052 1.743
```

- density of states at the Fermi level (states/eV/cell) = 2.6
- calculated volume (Å³ per cell) = 115
- ΔH_f (0 K) (eV/atom) = 0.067

First-principles (PBE-GGA) data for an optimized crystal structure of AcMg2F8, as listed in Alexandria via LeMat-Bulk. Values from VASP.

```
&SYSTEM
  ibrav = 0, nat = 11, ntyp = 3
/
ATOMIC_SPECIES
Mg 24.30 Mg.upf
F 19.00 F.upf
Ac 227.00 Ac.upf
CELL_PARAMETERS angstrom
5.340 0.000 0.000
0.000 5.340 0.000
-2.670 -2.670 5.880
ATOMIC_POSITIONS angstrom
Mg 0.000 2.670 2.940
Mg 2.670 0.000 2.940
F 1.593 -1.012 4.234
F -1.012 -1.593 4.234
F 1.012 1.593 4.234
F 4.263 3.682 1.646
F 1.077 1.658 1.646
F 3.682 1.077 1.646
F -1.593 1.012 4.234
F 1.658 4.263 1.646
Ac 2.670 2.670 0.000
```

- density of states at the Fermi level (states/eV/cell) = 11.5
- E_tot (eV/f.u.) = -58.1
- calculated volume (Å³ per cell) = 168

First-principles (PBE-GGA) data for an optimized crystal structure of Zn3AgBr, as listed in Alexandria via LeMat-Bulk. Values from VASP.

```
&SYSTEM
  ibrav = 0, nat = 5, ntyp = 3
/
ATOMIC_SPECIES
Zn 65.41 Zn.upf
Br 79.90 Br.upf
Ag 107.87 Ag.upf
CELL_PARAMETERS angstrom
5.269 0.000 0.000
0.000 5.269 0.000
0.000 0.000 5.269
ATOMIC_POSITIONS angstrom
Zn 0.000 2.635 0.000
Zn 0.000 0.000 2.635
Zn 2.635 0.000 0.000
Br 0.000 0.000 0.000
Ag 2.635 2.635 2.635
```

- density of states at the Fermi level (states/eV/cell) = 1.7
- E_tot (eV/f.u.) = -4.5
- calculated volume (Å³ per cell) = 146

First-principles (PBE-GGA) data for an optimized crystal structure of PmIn2Hg, as listed in Alexandria via LeMat-Bulk. Values from VASP.

```
&SYSTEM
  ibrav = 0, nat = 4, ntyp = 3
/
ATOMIC_SPECIES
In 114.82 In.upf
Hg 200.59 Hg.upf
Pm 145.00 Pm.upf
CELL_PARAMETERS angstrom
-2.873 3.430 1.645
-1.804 -0.309 4.402
2.772 3.726 3.979
ATOMIC_POSITIONS angstrom
In -1.685 4.977 7.404
In -0.221 1.870 2.622
Hg -0.953 3.424 5.013
Pm 0.000 0.000 0.000
```

- density of states at the Fermi level (states/eV/cell) = 1.7
- calculated volume (Å³ per cell) = 107
- ΔH_f (0 K) (eV/atom) = -0.255

First-principles (PBE-GGA) data for an optimized crystal structure of Na4Cd5P6, as listed in Alexandria via LeMat-Bulk. Values from VASP.

```
&SYSTEM
  ibrav = 0, nat = 30, ntyp = 3
/
ATOMIC_SPECIES
Cd 112.41 Cd.upf
Na 22.99 Na.upf
P 30.97 P.upf
CELL_PARAMETERS angstrom
4.309 0.000 0.000
-2.155 10.032 0.000
0.000 0.000 15.945
ATOMIC_POSITIONS angstrom
Cd 2.155 1.353 2.834
Cd 2.155 7.330 1.984
Cd 0.000 8.679 10.807
Cd 2.155 2.752 7.583
Cd 0.000 2.703 9.957
Cd 2.155 2.810 12.316
Cd 0.000 7.280 15.556
Cd 0.000 5.718 9.982
Cd 0.000 7.223 4.343
Cd 2.155 4.315 2.010
Na 0.000 0.471 12.200
Na 2.155 9.796 8.244
Na 0.000 0.236 0.271
Na 2.155 6.274 7.166
Na 2.155 9.562 4.228
Na 2.155 6.297 12.777
Na 0.000 3.759 15.138
Na 0.000 3.736 4.805
P 2.155 5.769 4.248
P 2.155 1.016 5.586
P 2.155 7.382 9.928
P 0.000 8.888 2.011
P 2.155 1.144 9.984
P 0.000 4.263 12.220
P 0.000 9.017 13.559
P 0.000 4.234 7.757
P 0.000 9.056 6.285
P 2.155 5.798 15.729
P 0.000 2.651 1.956
P 2.155 0.976 14.258
```

- density of states at the Fermi level (states/eV/cell) = 11.6
- calculated volume (Å³ per cell) = 689
- ΔH_f (0 K) (eV/atom) = -0.196